No. 1
LaNd2Ga3: optimized geometry, PBE.

Summary:
uncorrected energy = -4.482 eV per atom
energy of formation = -53.87 kJ/mol of atoms
SG = Cmmm (65)
offset from the most stable computed form = 0.07 kcal/mol of atoms

a b c (Å): 8.333 8.333 7.441
angles (deg): 90.00 90.00 143.20
Element x y z (fractional)
La1 0.167 0.833 0.000
La2 0.833 0.167 0.000
Nd1 0.169 0.831 0.500
Nd2 0.500 0.500 0.000
Nd3 0.500 0.500 0.500
Nd4 0.831 0.169 0.500
Ga1 0.000 0.000 0.257
Ga2 0.000 0.000 0.743
Ga3 0.336 0.664 0.256
Ga4 0.336 0.664 0.744
Ga5 0.664 0.336 0.256
Ga6 0.664 0.336 0.744



No. 2
LaNd2Ga2: optimized geometry, PBE.

Summary:
uncorrected energy = -4.468 eV per atom
energy of formation = -35.17 kJ/mol of atoms
SG = C2/m (12)
offset from the most stable computed form = 2.63 kcal/mol of atoms

a b c (Å): 12.728 3.854 6.094
angles (deg): 90.00 101.90 90.00
Element x y z (fractional)
La1 0.000 0.000 0.000
La2 0.500 0.500 0.000
Nd1 0.137 0.500 0.567
Nd2 0.363 0.000 0.433
Nd3 0.637 0.000 0.567
Nd4 0.863 0.500 0.433
Ga1 0.208 0.500 0.106
Ga2 0.292 0.000 0.894
Ga3 0.708 0.000 0.106
Ga4 0.792 0.500 0.894



Copy entry 1 word for word.
LaNd2Ga3: optimized geometry, PBE.

Summary:
uncorrected energy = -4.482 eV per atom
energy of formation = -53.87 kJ/mol of atoms
SG = Cmmm (65)
offset from the most stable computed form = 0.07 kcal/mol of atoms

a b c (Å): 8.333 8.333 7.441
angles (deg): 90.00 90.00 143.20
Element x y z (fractional)
La1 0.167 0.833 0.000
La2 0.833 0.167 0.000
Nd1 0.169 0.831 0.500
Nd2 0.500 0.500 0.000
Nd3 0.500 0.500 0.500
Nd4 0.831 0.169 0.500
Ga1 0.000 0.000 0.257
Ga2 0.000 0.000 0.743
Ga3 0.336 0.664 0.256
Ga4 0.336 0.664 0.744
Ga5 0.664 0.336 0.256
Ga6 0.664 0.336 0.744



Question: What is the uncorrected energy in the first record?
Answer: -4.482 eV per atom